Compound: LaYPa
Source: the Open Quantum Materials Database
Functional: GGA-PBE
Structure: relaxed

abc: 7.5718 7.5718 7.5718
angles: 90.00 90.00 90.00
Fractional coordinates of all 12 atoms:
1 La 0.0000 0.0000 0.0000
2 La 0.0000 0.5000 0.5000
3 La 0.5000 0.0000 0.5000
4 La 0.5000 0.5000 0.0000
5 Y 0.0000 0.0000 0.5000
6 Y 0.0000 0.5000 0.0000
7 Y 0.5000 0.0000 0.0000
8 Y 0.5000 0.5000 0.5000
9 Pa 0.2500 0.2500 0.2500
10 Pa 0.2500 0.7500 0.7500
11 Pa 0.7500 0.2500 0.7500
12 Pa 0.7500 0.7500 0.2500

The calculation puts the formation enthalpy at 0 K at 1062 meV per atom. The total energy comes out at -5.900 eV per atom.

Compound: LaPr2Pd3Pb3
Source: the Open Quantum Materials Database
Functional: GGA-PBE
Structure: relaxed

abc: 4.1284 7.9113 7.9113
angles: 119.93 90.00 90.00
Fractional coordinates of all 9 atoms:
1 La 0.0000 0.0000 0.0000
2 Pr 0.0000 0.4093 0.8171
3 Pr 0.0000 0.8171 0.4093
4 Pd 0.0000 0.4092 0.4092
5 Pd 0.5000 0.0765 0.7447
6 Pd 0.5000 0.7447 0.0765
7 Pb 0.5000 0.1535 0.4120
8 Pb 0.5000 0.4120 0.1535
9 Pb 0.5000 0.6643 0.6643

The total energy comes out at -5.310 eV per atom.

Compound: LaPrPd4Pb2
Source: the Open Quantum Materials Database
Functional: GGA-PBE
Structure: relaxed

abc: 4.7683 4.7683 9.1725
angles: 90.00 90.00 120.00
Fractional coordinates of all 8 atoms:
1 La 0.0000 0.0000 0.0000
2 Pr 0.3333 0.6667 0.5000
3 Pd 0.0000 0.0000 0.3381
4 Pd 0.0000 0.0000 0.6619
5 Pd 0.3333 0.6667 0.1624
6 Pd 0.3333 0.6667 0.8376
7 Pb 0.6667 0.3333 0.2550
8 Pb 0.6667 0.3333 0.7450

The total energy comes out at -5.402 eV per atom.

Compound: LaPr2Pd2PtPb3
Source: the Open Quantum Materials Database
Functional: GGA-PBE
Structure: relaxed

abc: 4.1625 7.8797 7.8797
angles: 120.00 90.00 90.00
Fractional coordinates of all 9 atoms:
1 La 0.0000 0.0000 0.0000
2 Pr 0.0000 0.4054 0.8091
3 Pr 0.0000 0.8091 0.4054
4 Pd 0.5000 0.0723 0.7402
5 Pd 0.5000 0.7402 0.0723
6 Pt 0.0000 0.4047 0.4047
7 Pb 0.5000 0.1473 0.4077
8 Pb 0.5000 0.4077 0.1473
9 Pb 0.5000 0.6624 0.6624

The total energy comes out at -5.429 eV per atom.

Compound: LaPr2PdPt2Pb3
Source: the Open Quantum Materials Database
Functional: GGA-PBE
Structure: relaxed

abc: 4.1752 7.9047 7.9047
angles: 119.97 90.00 90.00
Fractional coordinates of all 9 atoms:
1 La 0.0000 0.0000 0.0000
2 Pr 0.0000 0.4116 0.8225
3 Pr 0.0000 0.8225 0.4116
4 Pd 0.0000 0.4121 0.4121
5 Pt 0.5000 0.0784 0.7453
6 Pt 0.5000 0.7453 0.0784
7 Pb 0.5000 0.1581 0.4123
8 Pb 0.5000 0.4123 0.1581
9 Pb 0.5000 0.6649 0.6649

The total energy comes out at -5.596 eV per atom.

Compound: LaSm2PdPt2Pb3
Source: the Open Quantum Materials Database
Functional: GGA-PBE
Structure: relaxed

abc: 4.1175 7.8607 7.8607
angles: 120.13 90.00 90.00
Fractional coordinates of all 9 atoms:
1 La 0.0000 0.0000 0.0000
2 Sm 0.0000 0.1768 0.5878
3 Sm 0.0000 0.5878 0.1768
4 Pd 0.0000 0.5842 0.5842
5 Pt 0.5000 0.2551 0.9192
6 Pt 0.5000 0.9192 0.2551
7 Pb 0.5000 0.3338 0.3338
8 Pb 0.5000 0.5837 0.8424
9 Pb 0.5000 0.8424 0.5837

The total energy comes out at -5.587 eV per atom.

Compound: La3Sn2Pd2PtPb
Source: the Open Quantum Materials Database
Functional: GGA-PBE
Structure: relaxed

abc: 4.2246 7.7531 7.7531
angles: 119.56 90.00 90.00
Fractional coordinates of all 9 atoms:
1 La 0.0000 0.0000 0.0000
2 La 0.0000 0.4075 0.8213
3 La 0.0000 0.8213 0.4075
4 Sn 0.5000 0.1598 0.4095
5 Sn 0.5000 0.4095 0.1598
6 Pd 0.5000 0.0865 0.7462
7 Pd 0.5000 0.7462 0.0865
8 Pt 0.0000 0.3968 0.3968
9 Pb 0.5000 0.6621 0.6621

The total energy comes out at -5.694 eV per atom.

Compound: SrLa2PdPt2Pb3
Source: the Open Quantum Materials Database
Functional: GGA-PBE
Structure: relaxed

abc: 4.1569 8.0200 8.0200
angles: 120.58 90.00 90.00
Fractional coordinates of all 9 atoms:
1 Sr 0.0000 0.0000 0.0000
2 La 0.0000 0.4107 0.8248
3 La 0.0000 0.8248 0.4107
4 Pd 0.0000 0.4174 0.4174
5 Pt 0.5000 0.0786 0.7286
6 Pt 0.5000 0.7286 0.0786
7 Pb 0.5000 0.1569 0.4071
8 Pb 0.5000 0.4071 0.1569
9 Pb 0.5000 0.6668 0.6668

The total energy comes out at -5.244 eV per atom.

Compound: La3Sn2Pd3Pb
Source: the Open Quantum Materials Database
Functional: GGA-PBE
Structure: relaxed

abc: 4.2220 7.7455 7.7455
angles: 119.61 90.00 90.00
Fractional coordinates of all 9 atoms:
1 La 0.0000 0.0000 0.0000
2 La 0.0000 0.4084 0.8237
3 La 0.0000 0.8237 0.4084
4 Sn 0.5000 0.1612 0.4101
5 Sn 0.5000 0.4101 0.1612
6 Pd 0.0000 0.3983 0.3983
7 Pd 0.5000 0.0867 0.7466
8 Pd 0.5000 0.7466 0.0867
9 Pb 0.5000 0.6616 0.6616

The total energy comes out at -5.564 eV per atom.

Compound: La3SnPd3Pb2
Source: the Open Quantum Materials Database
Functional: GGA-PBE
Structure: relaxed

abc: 4.2224 7.8352 7.8352
angles: 120.38 90.00 90.00
Fractional coordinates of all 9 atoms:
1 La 0.0000 0.0000 0.0000
2 La 0.0000 0.1728 0.5823
3 La 0.0000 0.5823 0.1728
4 Sn 0.5000 0.3336 0.3336
5 Pd 0.0000 0.5718 0.5718
6 Pd 0.5000 0.2545 0.9282
7 Pd 0.5000 0.9282 0.2545
8 Pb 0.5000 0.5847 0.8376
9 Pb 0.5000 0.8376 0.5847

The total energy comes out at -5.474 eV per atom.

Compound: LaPmPb
Source: the Open Quantum Materials Database
Functional: GGA-PBE
Structure: relaxed

abc: 7.6310 7.6310 7.6310
angles: 90.00 90.00 90.00
Fractional coordinates of all 12 atoms:
1 La 0.0000 0.0000 0.0000
2 La 0.0000 0.5000 0.5000
3 La 0.5000 0.0000 0.5000
4 La 0.5000 0.5000 0.0000
5 Pm 0.2500 0.2500 0.2500
6 Pm 0.2500 0.7500 0.7500
7 Pm 0.7500 0.2500 0.7500
8 Pm 0.7500 0.7500 0.2500
9 Pb 0.2500 0.2500 0.7500
10 Pb 0.2500 0.7500 0.2500
11 Pb 0.7500 0.2500 0.2500
12 Pb 0.7500 0.7500 0.7500

The total energy comes out at -4.181 eV per atom.

Compound: La3Pm2Pb3
Source: the Open Quantum Materials Database
Functional: GGA-PBE
Structure: relaxed

abc: 9.5058 9.5058 6.9181
angles: 90.00 90.00 120.00
Fractional coordinates of all 16 atoms:
1 La 0.0000 0.2438 0.2500
2 La 0.0000 0.7562 0.7500
3 La 0.2438 0.0000 0.2500
4 La 0.2438 0.2438 0.7500
5 La 0.7562 0.0000 0.7500
6 La 0.7562 0.7562 0.2500
7 Pm 0.3333 0.6667 0.0000
8 Pm 0.3333 0.6667 0.5000
9 Pm 0.6667 0.3333 0.0000
10 Pm 0.6667 0.3333 0.5000
11 Pb 0.0000 0.3951 0.7500
12 Pb 0.0000 0.6049 0.2500
13 Pb 0.3951 0.0000 0.7500
14 Pb 0.3951 0.3951 0.2500
15 Pb 0.6049 0.0000 0.2500
16 Pb 0.6049 0.6049 0.7500

The total energy comes out at -4.980 eV per atom.